[1]
# LaSmYHo PBE relaxed
data_LaSmYHo
_space_group_name_H-M_alt 'F -4 3 m'
_space_group_IT_number 216
_space_group_name_Hall 'F -4 2 3'
_cell_length_a 8.1576
_cell_length_b 8.1576
_cell_length_c 8.1576
_cell_angle_alpha 90.00
_cell_angle_beta 90.00
_cell_angle_gamma 90.00
loop_
_atom_site_label
_atom_site_type_symbol
_atom_site_fract_x
_atom_site_fract_y
_atom_site_fract_z
La1 La 0.0000 0.0000 0.0000
Sm1 Sm 0.0000 0.0000 0.5000
Y1 Y 0.2500 0.2500 0.2500
Ho1 Ho 0.2500 0.2500 0.7500
# Electronic total energy in eV per atom: -5.0611
# Energy relative to the elements in meV/atom: 111
# Crystal system: cubic
# Total magnetization in μB/f.u.: 0.1
# E above lowest polymorph in meV per atom: 5.4


[2]
# Ho3TeS6 PBE relaxed
data_Ho3TeS6
_space_group_name_H-M_alt 'C m c 21'
_space_group_IT_number 36
_cell_length_a 10.5199
_cell_length_b 13.3646
_cell_length_c 6.6971
_cell_angle_alpha 90.00
_cell_angle_beta 90.00
_cell_angle_gamma 90.00
loop_
_space_group_symop_operation_xyz
'x,y,z'
'-x,-y,z+1/2'
'-x,y,z'
'x,-y,z+1/2'
'x+1/2,y+1/2,z'
'-x+1/2,-y+1/2,z+1/2'
'-x+1/2,y+1/2,z'
'x+1/2,-y+1/2,z+1/2'
loop_
_atom_site_label
_atom_site_type_symbol
_atom_site_fract_x
_atom_site_fract_y
_atom_site_fract_z
Ho1 Ho 0.0000 0.0907 0.0000
Ho2 Ho 0.1897 0.3979 0.8939
Te1 Te 0.0000 0.3344 0.4172
S1 S 0.0000 0.2685 0.7659
S2 S 0.0000 0.4893 0.1402
S3 S 0.1635 0.2306 0.1773
S4 S 0.1648 0.0335 0.6997
# Electronic total energy in eV per atom: -5.6031
# Crystal system: orthorhombic
# Total magnetization in μB/f.u.: 0.0
# Raw formation energy in meV per atom: -1439


[3]
# TaGa2Ni2 PBE relaxed
data_TaGa2Ni2
_space_group_name_H-M_alt 'P 4/m b m'
_space_group_IT_number 127
_space_group_name_Hall '-P 4 2ab'
_cell_length_a 7.1206
_cell_length_b 7.1206
_cell_length_c 2.7080
_cell_angle_alpha 90.00
_cell_angle_beta 90.00
_cell_angle_gamma 90.00
loop_
_atom_site_label
_atom_site_type_symbol
_atom_site_fract_x
_atom_site_fract_y
_atom_site_fract_z
Ta1 Ta 0.0000 0.0000 0.0000
Ga1 Ga 0.1333 0.3667 0.0000
Ni1 Ni 0.1651 0.6651 0.5000
# Electronic total energy in eV per atom: -6.1116
# Energy relative to the elements in meV/atom: -218
# Crystal system: tetragonal
# Total magnetization in μB/f.u.: 0.0
# E above lowest polymorph in meV per atom: 20.7


[4]
# BaW2Cl PBE relaxed
data_BaW2Cl
_space_group_name_H-M_alt 'R -3 m'
_space_group_IT_number 166
_space_group_name_Hall '-R 3 2"'
_cell_length_a 3.0044
_cell_length_b 3.0044
_cell_length_c 31.4384
_cell_angle_alpha 90.00
_cell_angle_beta 90.00
_cell_angle_gamma 120.00
loop_
_atom_site_label
_atom_site_type_symbol
_atom_site_fract_x
_atom_site_fract_y
_atom_site_fract_z
Ba1 Ba 0.0000 0.0000 0.0000
W1 W 0.0000 0.0000 0.2329
Cl1 Cl 0.0000 0.0000 0.5000
# Electronic total energy in eV per atom: -6.0500
# Crystal system: trigonal
# Total magnetization in μB/f.u.: 0.0
# Raw formation energy in meV per atom: 1369
# E above lowest polymorph in meV per atom: 1196.7


[5]
# Ca2NF PBE relaxed
data_Ca2NF
_space_group_name_H-M_alt 'R -3 m'
_space_group_IT_number 166
_space_group_name_Hall '-R 3 2"'
_cell_length_a 3.5421
_cell_length_b 3.5421
_cell_length_c 17.4470
_cell_angle_alpha 90.00
_cell_angle_beta 90.00
_cell_angle_gamma 120.00
loop_
_atom_site_label
_atom_site_type_symbol
_atom_site_fract_x
_atom_site_fract_y
_atom_site_fract_z
Ca1 Ca 0.0000 0.0000 0.2388
N1 N 0.0000 0.0000 0.5000
F1 F 0.0000 0.0000 0.0000
# Electronic total energy in eV per atom: -5.5986
# Crystal system: trigonal
# Total magnetization in μB/f.u.: 0.0
# Raw formation energy in meV per atom: -2049


[6]
# GaP3Pd PBE relaxed
data_GaP3Pd
_space_group_name_H-M_alt 'P m -3 m'
_space_group_IT_number 221
_space_group_name_Hall '-P 4 2 3'
_cell_length_a 4.7181
_cell_length_b 4.7181
_cell_length_c 4.7181
_cell_angle_alpha 90.00
_cell_angle_beta 90.00
_cell_angle_gamma 90.00
loop_
_atom_site_label
_atom_site_type_symbol
_atom_site_fract_x
_atom_site_fract_y
_atom_site_fract_z
Ga1 Ga 0.0000 0.0000 0.0000
P1 P 0.0000 0.5000 0.5000
Pd1 Pd 0.5000 0.5000 0.5000
# Electronic total energy in eV per atom: -4.0888
# Energy relative to the elements in meV/atom: 801
# Crystal system: cubic
# Total magnetization in μB/f.u.: 0.0
# E above lowest polymorph in meV per atom: 0.0


[7]
# Pb2S2O7 PBE relaxed
data_Pb2S2O7
_space_group_name_H-M_alt 'C 1 2/m 1'
_space_group_IT_number 12
_cell_length_a 8.3006
_cell_length_b 8.8289
_cell_length_c 4.6674
_cell_angle_alpha 90.00
_cell_angle_beta 99.38
_cell_angle_gamma 90.00
loop_
_space_group_symop_operation_xyz
'x,y,z'
'-x,-y,-z'
'-x,y,-z'
'x,-y,z'
'x+1/2,y+1/2,z'
'-x+1/2,-y+1/2,-z'
'-x+1/2,y+1/2,-z'
'x+1/2,-y+1/2,z'
loop_
_atom_site_label
_atom_site_type_symbol
_atom_site_fract_x
_atom_site_fract_y
_atom_site_fract_z
Pb1 Pb 0.0000 0.2318 0.0000
S1 S 0.2399 0.5000 0.4432
O1 O 0.0000 0.5000 0.5000
O2 O 0.1294 0.0000 0.2834
O3 O 0.2289 0.1400 0.7313
# Electronic total energy in eV per atom: -5.7027
# Crystal system: monoclinic
# Total magnetization in μB/f.u.: 0.0
# Raw formation energy in meV per atom: -1123


[8]
# KBa2Cl PBE relaxed
data_KBa2Cl
_space_group_name_H-M_alt 'F -4 3 m'
_space_group_IT_number 216
_space_group_name_Hall 'F -4 2 3'
_cell_length_a 9.6695
_cell_length_b 9.6695
_cell_length_c 9.6695
_cell_angle_alpha 90.00
_cell_angle_beta 90.00
_cell_angle_gamma 90.00
loop_
_atom_site_label
_atom_site_type_symbol
_atom_site_fract_x
_atom_site_fract_y
_atom_site_fract_z
K1 K 0.0000 0.0000 0.0000
Ba1 Ba 0.0000 0.0000 0.5000
Ba2 Ba 0.2500 0.2500 0.2500
Cl1 Cl 0.2500 0.2500 0.7500
# Electronic total energy in eV per atom: -1.9122
# Crystal system: cubic
# Total magnetization in μB/f.u.: 0.0
# Raw formation energy in meV per atom: -215
# E above lowest polymorph in meV per atom: 614.5


[9]
# Tm5Sn2Hg PBE relaxed
data_Tm5Sn2Hg
_space_group_name_H-M_alt 'C m c m'
_space_group_IT_number 63
_space_group_name_Hall '-C 2c 2'
_cell_length_a 5.1493
_cell_length_b 10.5882
_cell_length_c 16.2761
_cell_angle_alpha 90.00
_cell_angle_beta 90.00
_cell_angle_gamma 90.00
loop_
_atom_site_label
_atom_site_type_symbol
_atom_site_fract_x
_atom_site_fract_y
_atom_site_fract_z
Tm1 Tm 0.0000 0.0903 0.0878
Tm2 Tm 0.0000 0.3272 0.7500
Tm3 Tm 0.0000 0.3978 0.1186
Sn1 Sn 0.0000 0.2492 0.5718
Hg1 Hg 0.0000 0.0295 0.7500
# Electronic total energy in eV per atom: -4.1552
# Energy relative to the elements in meV/atom: -322
# Crystal system: orthorhombic
# Total magnetization in μB/f.u.: 0.0


[10]
# Tb7Tm2Th PBE relaxed
data_Tb7Tm2Th
_space_group_name_H-M_alt 'C m m m'
_space_group_IT_number 65
_space_group_name_Hall '-C 2 2'
_cell_length_a 8.7723
_cell_length_b 16.7232
_cell_length_c 5.3288
_cell_angle_alpha 90.00
_cell_angle_beta 90.00
_cell_angle_gamma 90.00
loop_
_atom_site_label
_atom_site_type_symbol
_atom_site_fract_x
_atom_site_fract_y
_atom_site_fract_z
Tb1 Tb 0.0000 0.0000 0.0000
Tb2 Tb 0.0000 0.2986 0.5000
Tb3 Tb 0.1775 0.3891 0.0000
Tm1 Tm 0.0000 0.2016 0.0000
Th1 Th 0.0000 0.5000 0.5000
# Electronic total energy in eV per atom: -4.1560
# Energy relative to the elements in meV/atom: 721
# Crystal system: orthorhombic
# Total magnetization in μB/f.u.: 0.0


[11]
# Sr2ScZn PBE relaxed
data_Sr2ScZn
_space_group_name_H-M_alt 'R -3 m'
_space_group_IT_number 166
_space_group_name_Hall '-R 3 2"'
_cell_length_a 3.8854
_cell_length_b 3.8854
_cell_length_c 32.3424
_cell_angle_alpha 90.00
_cell_angle_beta 90.00
_cell_angle_gamma 120.00
loop_
_atom_site_label
_atom_site_type_symbol
_atom_site_fract_x
_atom_site_fract_y
_atom_site_fract_z
Sr1 Sr 0.0000 0.0000 0.2414
Sc1 Sc 0.0000 0.0000 0.0000
Zn1 Zn 0.0000 0.0000 0.5000
# Electronic total energy in eV per atom: -2.4949
# Energy relative to the elements in meV/atom: 247
# Crystal system: trigonal
# Total magnetization in μB/f.u.: 0.7


[12]
# Pm12DyHo5 PBE relaxed
data_Pm12DyHo5
_space_group_name_H-M_alt 'C 1 2/m 1'
_space_group_IT_number 12
_cell_length_a 11.1648
_cell_length_b 17.9870
_cell_length_c 5.9778
_cell_angle_alpha 90.00
_cell_angle_beta 90.01
_cell_angle_gamma 90.00
loop_
_space_group_symop_operation_xyz
'x,y,z'
'-x,-y,-z'
'-x,y,-z'
'x,-y,z'
'x+1/2,y+1/2,z'
'-x+1/2,-y+1/2,-z'
'-x+1/2,y+1/2,-z'
'x+1/2,-y+1/2,z'
loop_
_atom_site_label
_atom_site_type_symbol
_atom_site_fract_x
_atom_site_fract_y
_atom_site_fract_z
Pm1 Pm 0.1611 0.1675 0.0059
Pm2 Pm 0.1613 0.3329 0.4942
Pm3 Pm 0.1623 0.0000 0.4940
Pm4 Pm 0.1624 0.5000 0.0060
Dy1 Dy 0.0000 0.0000 0.0000
Ho1 Ho 0.0000 0.1661 0.5000
Ho2 Ho 0.0000 0.3341 0.0000
Ho3 Ho 0.0000 0.5000 0.5000
# Electronic total energy in eV per atom: -4.5853
# Energy relative to the elements in meV/atom: 109
# Crystal system: monoclinic
# Total magnetization in μB/f.u.: 0.0


[13]
# CsAlPd3 PBE relaxed
data_CsAlPd3
_space_group_name_H-M_alt 'P m -3 m'
_space_group_IT_number 221
_space_group_name_Hall '-P 4 2 3'
_cell_length_a 5.2886
_cell_length_b 5.2886
_cell_length_c 5.2886
_cell_angle_alpha 90.00
_cell_angle_beta 90.00
_cell_angle_gamma 90.00
loop_
_atom_site_label
_atom_site_type_symbol
_atom_site_fract_x
_atom_site_fract_y
_atom_site_fract_z
Cs1 Cs 0.0000 0.0000 0.0000
Al1 Al 0.5000 0.5000 0.5000
Pd1 Pd 0.0000 0.0000 0.5000
# Electronic total energy in eV per atom: -2.6445
# Energy relative to the elements in meV/atom: 1390
# Crystal system: cubic
# Total magnetization in μB/f.u.: 0.0
# E above lowest polymorph in meV per atom: 1366.8


[14]
# CdIn2HgIr PBE relaxed
data_CdIn2HgIr
_space_group_name_H-M_alt 'P 4/m m m'
_space_group_IT_number 123
_space_group_name_Hall '-P 4 2'
_cell_length_a 5.1857
_cell_length_b 5.1857
_cell_length_c 5.3659
_cell_angle_alpha 90.00
_cell_angle_beta 90.00
_cell_angle_gamma 90.00
loop_
_atom_site_label
_atom_site_type_symbol
_atom_site_fract_x
_atom_site_fract_y
_atom_site_fract_z
Cd1 Cd 0.0000 0.0000 0.0000
In1 In 0.0000 0.5000 0.5000
Hg1 Hg 0.5000 0.5000 0.0000
Ir1 Ir 0.5000 0.5000 0.5000
# Electronic total energy in eV per atom: -3.0403
# Energy relative to the elements in meV/atom: 71
# Crystal system: tetragonal
# Total magnetization in μB/f.u.: 0.0
# E above lowest polymorph in meV per atom: 105.0


[15]
# Dy2Cu12Ni5 PBE relaxed
data_Dy2Cu12Ni5
_space_group_name_H-M_alt 'R -3 m'
_space_group_IT_number 166
_space_group_name_Hall '-R 3 2"'
_cell_length_a 8.4498
_cell_length_b 8.4498
_cell_length_c 12.3531
_cell_angle_alpha 90.00
_cell_angle_beta 90.00
_cell_angle_gamma 120.00
loop_
_atom_site_label
_atom_site_type_symbol
_atom_site_fract_x
_atom_site_fract_y
_atom_site_fract_z
Dy1 Dy 0.0000 0.0000 0.1705
Cu1 Cu 0.0000 0.2932 0.5000
Cu2 Cu 0.0010 0.5005 0.3469
Ni1 Ni 0.0000 0.0000 0.4008
Ni2 Ni 0.0000 0.5000 0.0000
# Electronic total energy in eV per atom: -4.7491
# Energy relative to the elements in meV/atom: -156
# Crystal system: trigonal
# Total magnetization in μB/f.u.: 0.0


[16]
# Eu2DyZn PBE relaxed
data_Eu2DyZn
_space_group_name_H-M_alt 'P 4/m m m'
_space_group_IT_number 123
_space_group_name_Hall '-P 4 2'
_cell_length_a 4.8987
_cell_length_b 4.8987
_cell_length_c 4.9955
_cell_angle_alpha 90.00
_cell_angle_beta 90.00
_cell_angle_gamma 90.00
loop_
_atom_site_label
_atom_site_type_symbol
_atom_site_fract_x
_atom_site_fract_y
_atom_site_fract_z
Eu1 Eu 0.0000 0.5000 0.0000
Dy1 Dy 0.0000 0.0000 0.5000
Zn1 Zn 0.5000 0.5000 0.5000
# Electronic total energy in eV per atom: -6.5495
# Energy relative to the elements in meV/atom: 57
# Crystal system: tetragonal
# Total magnetization in μB/f.u.: 15.1
# E above lowest polymorph in meV per atom: 112.6


[17]
# PaTlHgO6 PBE relaxed
data_PaTlHgO6
_space_group_name_H-M_alt 'P 3 1 2'
_space_group_IT_number 149
_cell_length_a 5.6747
_cell_length_b 5.6747
_cell_length_c 4.8057
_cell_angle_alpha 90.00
_cell_angle_beta 90.00
_cell_angle_gamma 120.00
loop_
_space_group_symop_operation_xyz
'x,y,z'
'-y,x-y,z'
'-x+y,-x,z'
'-y,-x,-z'
'-x+y,y,-z'
'x,x-y,-z'
loop_
_atom_site_label
_atom_site_type_symbol
_atom_site_fract_x
_atom_site_fract_y
_atom_site_fract_z
Pa1 Pa 0.0000 0.0000 0.0000
Tl1 Tl 0.6667 0.3333 0.5000
Hg1 Hg 0.3333 0.6667 0.5000
O1 O 0.0007 0.3186 0.7495
# Electronic total energy in eV per atom: -6.0203
# Crystal system: trigonal
# Total magnetization in μB/f.u.: 0.0
# Raw formation energy in meV per atom: -1363


[18]
# Sc12Tl3Ru PBE relaxed
data_Sc12Tl3Ru
_space_group_name_H-M_alt 'P 4/m m m'
_space_group_IT_number 123
_space_group_name_Hall '-P 4 2'
_cell_length_a 4.5319
_cell_length_b 4.5319
_cell_length_c 17.4578
_cell_angle_alpha 90.00
_cell_angle_beta 90.00
_cell_angle_gamma 90.00
loop_
_atom_site_label
_atom_site_type_symbol
_atom_site_fract_x
_atom_site_fract_y
_atom_site_fract_z
Sc1 Sc 0.0000 0.0000 0.0000
Sc2 Sc 0.0000 0.0000 0.2401
Sc3 Sc 0.0000 0.0000 0.5000
Sc4 Sc 0.0000 0.5000 0.1061
Sc5 Sc 0.0000 0.5000 0.3700
Tl1 Tl 0.5000 0.5000 0.2419
Tl2 Tl 0.5000 0.5000 0.5000
Ru1 Ru 0.5000 0.5000 0.0000
# Electronic total energy in eV per atom: -5.9682
# Energy relative to the elements in meV/atom: -196
# Crystal system: tetragonal
# Total magnetization in μB/f.u.: 3.8


[19]
# ZnHg3 PBE relaxed
data_ZnHg3
_space_group_name_H-M_alt 'P m m n'
_space_group_IT_number 59
_cell_length_a 4.2543
_cell_length_b 6.2130
_cell_length_c 7.3940
_cell_angle_alpha 90.00
_cell_angle_beta 90.00
_cell_angle_gamma 90.00
loop_
_space_group_symop_operation_xyz
'x,y,z'
'-x,-y,-z'
'-x+1/2,-y+1/2,z'
'x+1/2,y+1/2,-z'
'x+1/2,-y,-z'
'-x+1/2,y,z'
'-x,y+1/2,-z'
'x,-y+1/2,z'
loop_
_atom_site_label
_atom_site_type_symbol
_atom_site_fract_x
_atom_site_fract_y
_atom_site_fract_z
Zn1 Zn 0.2500 0.2500 0.1624
Hg1 Hg 0.2500 0.0011 0.6504
Hg2 Hg 0.2500 0.7500 0.0927
# Electronic total energy in eV per atom: -0.4606
# Energy relative to the elements in meV/atom: 84
# Crystal system: orthorhombic
# Total magnetization in μB/f.u.: 0.0
# E above lowest polymorph in meV per atom: 16.0


[20]
# V2CrH PBE relaxed
data_V2CrH
_space_group_name_H-M_alt 'I -4 2 d'
_space_group_IT_number 122
_space_group_name_Hall 'I -4 2bw'
_cell_length_a 5.3889
_cell_length_b 5.3889
_cell_length_c 5.9445
_cell_angle_alpha 90.00
_cell_angle_beta 90.00
_cell_angle_gamma 90.00
loop_
_atom_site_label
_atom_site_type_symbol
_atom_site_fract_x
_atom_site_fract_y
_atom_site_fract_z
V1 V 0.1711 0.2500 0.1250
Cr1 Cr 0.0000 0.0000 0.5000
H1 H 0.0000 0.0000 0.0000
# Electronic total energy in eV per atom: -7.5203
# Crystal system: tetragonal
# Total magnetization in μB/f.u.: 0.0
# E above lowest polymorph in meV per atom: 402.9